Entry from Alexandria via LeMat-Bulk: crystalline Rb2GaSbH at its relaxed geometry (PBE).

It has space group P2_1/m (No. 11), with a = 7.121 Å, b = 4.496 Å, c = 10.781 Å, α = 90.00°, β = 101.64° and γ = 90.00°. Symmetry generates all atoms from Rb at (0.201, 0.250, 0.418), Rb at (0.286, 0.750, 0.075), Ga at (0.336, 0.750, 0.708), Sb at (0.170, 0.250, 0.779) and H at (0.429, 0.250, 0.225).

As for the total energy: -2.7481 eV per atom.